a) ! Li2Cr5Si4O14 | Alexandria via LeMat-Bulk | PBE with a Hubbard U | optimized geometry; values from VASP
! DOS at the Fermi energy = 0.000 states/eV/cell
&SYSTEM
  ibrav = 0, nat = 50, ntyp = 4
/
ATOMIC_SPECIES
Li 6.94 Li.upf
Cr 52.00 Cr.upf
Si 28.09 Si.upf
O 16.00 O.upf
ATOMIC_POSITIONS crystal
Li 0.170 0.055 0.402
Li 0.670 0.555 0.902
Li 0.330 0.445 0.098
Li 0.830 0.945 0.598
Cr 0.500 0.500 0.500
Cr 0.885 0.190 0.622
Cr 0.385 0.690 0.122
Cr 0.615 0.310 0.878
Cr 0.115 0.810 0.378
Cr 0.000 0.000 0.000
Cr 0.377 0.286 0.423
Cr 0.877 0.786 0.923
Cr 0.123 0.214 0.077
Cr 0.623 0.714 0.577
Si 0.376 0.114 0.743
Si 0.876 0.614 0.243
Si 0.124 0.386 0.757
Si 0.624 0.886 0.257
Si 0.689 0.103 0.291
Si 0.189 0.603 0.791
Si 0.811 0.397 0.209
Si 0.311 0.897 0.709
O 0.799 0.083 0.483
O 0.299 0.583 0.983
O 0.701 0.417 0.017
O 0.201 0.917 0.517
O 0.599 0.178 0.775
O 0.099 0.678 0.275
O 0.901 0.322 0.725
O 0.401 0.822 0.225
O 0.532 0.006 0.264
O 0.032 0.506 0.764
O 0.968 0.494 0.236
O 0.468 0.994 0.736
O 0.239 0.162 0.562
O 0.739 0.662 0.062
O 0.261 0.338 0.938
O 0.761 0.838 0.438
O 0.930 0.095 0.175
O 0.430 0.595 0.675
O 0.570 0.405 0.325
O 0.070 0.905 0.825
O 0.499 0.201 0.243
O 0.999 0.701 0.743
O 0.001 0.299 0.257
O 0.501 0.799 0.757
O 0.183 0.117 0.894
O 0.683 0.617 0.394
O 0.317 0.383 0.606
O 0.817 0.883 0.106
CELL_PARAMETERS angstrom
5.652 -0.015 0.012
1.266 13.415 -0.008
-0.156 1.059 7.967

b) ! Li2Cr5Si4O14 | Alexandria via LeMat-Bulk | PBE with a Hubbard U | optimized geometry; values from VASP
! DOS at the Fermi energy = 0.000 states/eV/cell
&SYSTEM
  ibrav = 0, nat = 25, ntyp = 4
/
ATOMIC_SPECIES
Li 6.94 Li.upf
Cr 52.00 Cr.upf
Si 28.09 Si.upf
O 16.00 O.upf
ATOMIC_POSITIONS crystal
Li 0.421 0.347 0.093
Li 0.579 0.653 0.907
Cr 0.000 0.000 0.000
Cr 0.799 0.229 0.378
Cr 0.652 0.682 0.582
Cr 0.348 0.318 0.418
Cr 0.201 0.771 0.622
Si 0.395 0.842 0.163
Si 0.061 0.543 0.178
Si 0.939 0.457 0.822
Si 0.605 0.158 0.837
O 0.621 0.239 0.065
O 0.021 0.780 0.268
O 0.282 0.585 0.206
O 0.401 0.109 0.647
O 0.281 0.063 0.158
O 0.416 0.600 0.602
O 0.051 0.313 0.314
O 0.949 0.687 0.686
O 0.584 0.400 0.398
O 0.719 0.937 0.842
O 0.599 0.891 0.353
O 0.718 0.415 0.794
O 0.979 0.220 0.732
O 0.379 0.761 0.935
CELL_PARAMETERS angstrom
7.947 1.383 -0.610
-1.781 5.473 0.090
-2.264 -0.927 6.608

What should be chosen as the most stable of them? Choose a).